# PBE-GGA AgSb2, optimized geometry
data_AgSb2
_cell_length_a 6.377
_cell_length_b 6.377
_cell_length_c 8.754
_cell_angle_alpha 111.98
_cell_angle_beta 111.98
_cell_angle_gamma 28.95
_symmetry_space_group_name_H-M 'P 1'
_symmetry_Int_Tables_number 1
_symmetry_space_group_name_Hall 'P 1'
loop_
_atom_site_label
_atom_site_fract_x
_atom_site_fract_y
_atom_site_fract_z
Ag1 0.144 0.144 0.006
Ag2 0.856 0.856 0.994
Sb1 0.307 0.307 0.697
Sb2 0.458 0.458 0.298
Sb3 0.542 0.542 0.702
Sb4 0.693 0.693 0.303
# - Symmetry: C2/m (12)
# - Raw total energy: -10.74 eV per formula unit
# - Size of the total moment: 0.000 μB per atom
# - Energy relative to the elements, uncorrected: 0.4 eV/f.u.